No. 1
Density functional theory data (GGA-PBE) for crystalline TlCdInS3 at its relaxed geometry.

Unit cell a=7.7455 b=3.9633 c=11.0573 alpha=90.00 beta=109.69 gamma=90.00
Last column: nearest neighbours and their distance in Å.
Space group P2_1/m (No. 11)
Symmetry-distinct sites (fractional):
Tl 0.0337 0.2500 0.2154 [2 per cell]  4 S 3.03-3.35
Cd 0.3794 0.7500 0.5785 [2 per cell]  5 S 2.56-2.87
In 0.4913 0.2500 0.8534 [2 per cell]  4 S 2.47-2.75
S 0.2136 0.2500 0.6605 [2 per cell]  1 In 2.47, 2 Cd 2.68
S 0.3215 0.2500 0.0350 [2 per cell]  3 In 2.52-2.75
S 0.3373 0.7500 0.3385 [2 per cell]  3 Cd 2.56-2.87, 1 In 2.86

Crystal system: monoclinic
Mass density (g/cm3): 5.5
Energy relative to the elements, uncorrected (kJ/mol of atoms): -46.83



No. 2
Density functional theory data (GGA-PBE) for crystalline YCdInS4 at its relaxed geometry.

Unit cell a=7.8713 b=7.9036 c=11.2265 alpha=90.00 beta=90.00 gamma=90.00
Last column: nearest neighbours and their distance in Å.
Space group Imma (No. 74)
Symmetry-distinct sites (fractional):
Y 0.0000 0.0000 0.0000 [4 per cell]  6 S 2.72-2.76
Cd 0.0000 0.2500 0.3763 [4 per cell]  4 S 2.56-2.60
In 0.2500 0.2500 0.7500 [4 per cell]  6 S 2.67-2.69
S 0.0000 0.0222 0.7543 [8 per cell]  1 Cd 2.60, 2 In 2.67, 1 Y 2.76
S 0.2377 0.2500 0.9893 [8 per cell]  1 Cd 2.56, 1 In 2.69, 2 Y 2.72

Crystal system: orthorhombic
Mass density (g/cm3): 4.2
Energy relative to the elements, uncorrected (kJ/mol of atoms): -106.74



No. 3
Density functional theory data (GGA-PBE) for crystalline Cd2InSb2 at its relaxed geometry.

Unit cell a=4.4733 b=4.4733 c=14.5181 alpha=90.00 beta=90.00 gamma=90.00
Last column: nearest neighbours and their distance in Å.
Space group I4/mmm (No. 139)
Symmetry-distinct sites (fractional):
Cd 0.0000 0.5000 0.2500 [4 per cell]  4 Sb 2.99, 4 Cd 3.16
In 0.0000 0.0000 0.0000 [2 per cell]  8 Sb 3.56
Sb 0.0000 0.0000 0.3868 [4 per cell]  4 Cd 2.99, 1 Sb 3.29

Crystal system: tetragonal
Mass density (g/cm3): 6.7
Excess energy over the best structure of this formula in the dataset (meV per atom): 0
Energy relative to the elements, uncorrected (kJ/mol of atoms): 6.17



No. 4
Density functional theory data (GGA-PBE) for crystalline CdIn2Sb2 at its relaxed geometry.

Unit cell a=4.8817 b=4.8817 c=13.6014 alpha=90.00 beta=90.00 gamma=90.00
Last column: nearest neighbours and their distance in Å.
Space group I4/mmm (No. 139)
Symmetry-distinct sites (fractional):
Cd 0.0000 0.0000 0.0000 [2 per cell]  8 Sb 3.82, 8 In 4.19
In 0.0000 0.5000 0.2500 [4 per cell]  4 Sb 3.01
Sb 0.0000 0.0000 0.3798 [4 per cell]  4 In 3.01, 1 Sb 3.27

Crystal system: tetragonal
Mass density (g/cm3): 6.0
Excess energy over the best structure of this formula in the dataset (meV per atom): 24
Energy relative to the elements, uncorrected (kJ/mol of atoms): 11.83



No. 5
Density functional theory data (GGA-PBE) for crystalline Cd2InSb2 at its relaxed geometry.

Unit cell a=14.6647 b=4.9146 c=11.7858 alpha=90.00 beta=122.88 gamma=90.00
Last column: nearest neighbours and their distance in Å.
Space group C2/m (No. 12)
Symmetry-distinct sites (fractional):
Cd 0.0503 0.0000 0.2202 [4 per cell]  3 Sb 2.86-2.88
Cd 0.1337 0.5000 0.9411 [4 per cell]  4 Sb 2.89-3.15
In 0.1301 0.5000 0.6452 [4 per cell]  3 Sb 2.92-3.02
Sb 0.0720 0.5000 0.3572 [4 per cell]  3 Cd 2.86-3.15, 2 In 2.95-3.02
Sb 0.1679 0.0000 0.0888 [4 per cell]  4 Cd 2.88-3.11, 1 In 2.92

Crystal system: monoclinic
Mass density (g/cm3): 5.4
Excess energy over the best structure of this formula in the dataset (meV per atom): 20
Energy relative to the elements, uncorrected (kJ/mol of atoms): 8.08



No. 6
Density functional theory data (GGA-PBE) for crystalline Cd3In12Sb at its relaxed geometry.

Unit cell a=4.6360 b=4.6360 c=19.8920 alpha=90.00 beta=90.00 gamma=90.00
Last column: nearest neighbours and their distance in Å.
Space group P4/mmm (No. 123)
Symmetry-distinct sites (fractional):
Cd 0.0000 0.0000 0.0000 [1 per cell]  12 In 3.28-3.37
Cd 0.0000 0.0000 0.2434 [2 per cell]  12 In 3.28-3.44
In 0.0000 0.5000 0.1228 [4 per cell]  8 In 3.28-3.37, 4 Cd 3.34-3.37
In 0.0000 0.5000 0.3713 [4 per cell]  8 In 3.28-3.45, 2 Cd 3.44, 2 Sb 3.45
In 0.5000 0.5000 0.0000 [1 per cell]  4 Cd 3.28, 8 In 3.37
In 0.5000 0.5000 0.2456 [2 per cell]  4 Cd 3.28, 8 In 3.37-3.41
In 0.5000 0.5000 0.5000 [1 per cell]  4 Sb 3.28, 8 In 3.45
Sb 0.0000 0.0000 0.5000 [1 per cell]  12 In 3.28-3.45

Crystal system: tetragonal
Mass density (g/cm3): 7.1
Energy relative to the elements, uncorrected (kJ/mol of atoms): 3.58



No. 7
Density functional theory data (GGA-PBE) for crystalline Cd12In3Sb5 at its relaxed geometry.

Unit cell a=16.9587 b=16.9587 c=16.9587 alpha=90.00 beta=90.00 gamma=90.00
Last column: nearest neighbours and their distance in Å.
Space group Ia-3d (No. 230)
Symmetry-distinct sites (fractional):
Cd 0.0254 0.0837 0.6487 [96 per cell]  2 Sb 2.80-2.93, 1 In 2.88
In 0.0000 0.2500 0.1250 [24 per cell]  4 Cd 2.88
Sb 0.0000 0.0000 0.0000 [16 per cell]  6 Cd 2.93
Sb 0.0000 0.2500 0.3750 [24 per cell]  4 Cd 2.80

Crystal system: cubic
Mass density (g/cm3): 6.3
Energy relative to the elements, uncorrected (kJ/mol of atoms): 6.45



No. 8
Density functional theory data (GGA-PBE) for crystalline CdIn4Sb at its relaxed geometry.

Unit cell a=8.8089 b=8.8089 c=8.8089 alpha=90.00 beta=90.00 gamma=90.00
Last column: nearest neighbours and their distance in Å.
Space group F-43m (No. 216)
Symmetry-distinct sites (fractional):
Cd 0.0000 0.0000 0.0000 [4 per cell]  12 In 3.65, 4 Sb 3.81
In 0.1251 0.1251 0.6251 [16 per cell]  6 In 3.11-3.12
Sb 0.2500 0.2500 0.2500 [4 per cell]  12 In 3.65, 4 Cd 3.81

Crystal system: cubic
Mass density (g/cm3): 6.7
Energy relative to the elements, uncorrected (kJ/mol of atoms): 19.35



No. 9
Density functional theory data (GGA-PBE) for crystalline CdInSb4 at its relaxed geometry.

Unit cell a=8.9451 b=8.9451 c=8.9451 alpha=90.00 beta=90.00 gamma=90.00
Last column: nearest neighbours and their distance in Å.
Space group F-43m (No. 216)
Symmetry-distinct sites (fractional):
Cd 0.0000 0.0000 0.0000 [4 per cell]  12 Sb 3.71, 4 In 3.87
In 0.2500 0.2500 0.7500 [4 per cell]  12 Sb 3.71, 4 Cd 3.87
Sb 0.1250 0.1250 0.3750 [16 per cell]  6 Sb 3.16

Crystal system: cubic
Mass density (g/cm3): 6.6
Energy relative to the elements, uncorrected (kJ/mol of atoms): 17.48



No. 10
Density functional theory data (GGA-PBE) for crystalline Cd2InSb2 at its relaxed geometry.

Unit cell a=8.8293 b=8.8293 c=3.4988 alpha=90.00 beta=90.00 gamma=90.00
Last column: nearest neighbours and their distance in Å.
Space group P4/mbm (No. 127)
Symmetry-distinct sites (fractional):
Cd 0.1333 0.3667 0.0000 [4 per cell]  6 Sb 3.06-3.18, 1 Cd 3.33
In 0.0000 0.0000 0.5000 [2 per cell]  4 Sb 3.30, 2 In 3.50
Sb 0.1653 0.6653 0.5000 [4 per cell]  6 Cd 3.06-3.18, 2 In 3.30

Crystal system: tetragonal
Mass density (g/cm3): 7.1
Excess energy over the best structure of this formula in the dataset (meV per atom): 32
Energy relative to the elements, uncorrected (kJ/mol of atoms): 9.27



No. 11
Density functional theory data (GGA-PBE) for crystalline Cd5In12Sb3 at its relaxed geometry.

Unit cell a=17.4393 b=17.4393 c=17.4393 alpha=90.00 beta=90.00 gamma=90.00
Last column: nearest neighbours and their distance in Å.
Space group Ia-3d (No. 230)
Symmetry-distinct sites (fractional):
Cd 0.0000 0.0000 0.0000 [16 per cell]  6 In 2.95
Cd 0.0000 0.2500 0.3750 [24 per cell]  4 In 2.88
In 0.0161 0.0748 0.6507 [96 per cell]  2 Cd 2.88-2.95, 1 Sb 3.10
Sb 0.0000 0.2500 0.1250 [24 per cell]  8 In 3.10-3.28

Crystal system: cubic
Mass density (g/cm3): 5.8
Energy relative to the elements, uncorrected (kJ/mol of atoms): 13.33



No. 12
Density functional theory data (GGA-PBE) for crystalline Cd12In5Sb3 at its relaxed geometry.

Unit cell a=17.1450 b=17.1450 c=17.1450 alpha=90.00 beta=90.00 gamma=90.00
Last column: nearest neighbours and their distance in Å.
Space group Ia-3d (No. 230)
Symmetry-distinct sites (fractional):
Cd 0.0150 0.0781 0.6526 [96 per cell]  2 In 2.85-2.95, 1 Sb 3.00, 1 Cd 3.16
In 0.0000 0.0000 0.0000 [16 per cell]  6 Cd 2.95
In 0.0000 0.2500 0.3750 [24 per cell]  4 Cd 2.85
Sb 0.0000 0.2500 0.1250 [24 per cell]  8 Cd 3.00-3.22

Crystal system: cubic
Mass density (g/cm3): 6.0
Energy relative to the elements, uncorrected (kJ/mol of atoms): 15.75



No. 13
Density functional theory data (GGA-PBE) for crystalline CdIn2Sb2 at its relaxed geometry.

Unit cell a=8.3454 b=8.3454 c=4.0943 alpha=90.00 beta=90.00 gamma=90.00
Last column: nearest neighbours and their distance in Å.
Space group P4/mbm (No. 127)
Symmetry-distinct sites (fractional):
Cd 0.0000 0.0000 0.0000 [2 per cell]  4 Sb 3.13
In 0.1408 0.3592 0.5000 [4 per cell]  6 Sb 3.11-3.25, 1 In 3.32
Sb 0.1614 0.6614 0.0000 [4 per cell]  6 In 3.11-3.25, 2 Cd 3.13

Crystal system: tetragonal
Mass density (g/cm3): 6.8
Excess energy over the best structure of this formula in the dataset (meV per atom): 0
Energy relative to the elements, uncorrected (kJ/mol of atoms): 9.50